1.
A relaxed Nb2Tl5S4Cl9 crystal, computed with PBE-GGA.

Cell lengths 9.9980, 9.9980, 9.9980 Å; angles 137.93, 121.43, 74.71 degrees
Closest atoms and distances in Å follow each position.
Positions (direct):
Nb 0.0919 0.0919 0.0000  4 S 2.52, 4 Cl 2.55-2.63
Nb 0.9081 0.9081 0.0000  4 S 2.52, 4 Cl 2.55-2.63
Tl 0.1140 0.3321 0.7819  6 Cl 3.16-3.42
Tl 0.4498 0.6679 0.7819  6 Cl 3.16-3.42
Tl 0.5000 0.0000 0.5000  4 Cl 3.19
Tl 0.5502 0.3321 0.2181  6 Cl 3.16-3.42
Tl 0.8860 0.6679 0.2181  6 Cl 3.16-3.42
S 0.1029 0.2488 0.3517  1 S 2.01
S 0.1029 0.7512 0.8541  1 S 2.01
S 0.8971 0.2488 0.1459  1 S 2.01
S 0.8971 0.7512 0.6483  1 S 2.01
Cl 0.1242 0.8649 0.2592  1 Nb 2.63
Cl 0.2099 0.4510 0.2411  1 Nb 2.55
Cl 0.2099 0.9688 0.7589  1 Nb 2.55
Cl 0.3943 0.1351 0.2592  1 Nb 2.63
Cl 0.5000 0.5000 0.0000  6 Tl 3.42-3.59
Cl 0.6057 0.8649 0.7408  1 Nb 2.63
Cl 0.7901 0.0312 0.2411  1 Nb 2.55
Cl 0.7901 0.5490 0.7589  1 Nb 2.55
Cl 0.8758 0.1351 0.7408  1 Nb 2.63

Values from the calculation:
Raw total energy   -4.273 eV per atom
Uncorrected formation energy   -1018 meV per atom
Mass density   4.925 g/cm3

2.
A relaxed NbVS2Cl crystal, computed with PBE-GGA.

Cell lengths 4.8358, 4.8358, 4.7618 Å; angles 90.00, 90.00, 90.00 degrees
Closest atoms and distances in Å follow each position.
Positions (direct):
Nb 0.0000 0.0000 0.0000  2 Cl 2.38, 4 S 2.42
V 0.5000 0.5000 0.5000  8 S 3.39, 4 Cl 3.42
S 0.0000 0.5000 0.0000  2 Nb 2.42
S 0.5000 0.0000 0.0000  2 Nb 2.42
Cl 0.0000 0.0000 0.5000  2 Nb 2.38

Values from the calculation:
Raw total energy   -5.616 eV per atom
Uncorrected formation energy   242 meV per atom
Mass density   3.630 g/cm3